1.
First-principles (PBE) data for LaDy2Tm after structural relaxation, as listed in Alexandria.

The calculation puts the volume at 262 Å³ per cell. The energy above the most stable polymorph in this dataset comes out at 0.015 eV per atom.

The structure belongs to space group P-1 (No. 2); the cell edges are 3.641, 6.758 and 11.236 Å and the angles 89.86°, 80.68° and 74.38°. The inequivalent atoms are La at (0.147, 0.231, 0.473), Dy at (0.101, 0.017, 0.781), Dy at (0.394, 0.472, 0.738) and Tm at (0.355, 0.272, 0.019).



2.
First-principles (PBE) data for BaAgAuO2 after structural relaxation, as listed in Alexandria.

The value obtained for the total DFT energy (no corrections) is -4.586 eV/atom. The calculation puts the volume at 374 Å³ per cell.

The structure belongs to space group Cmme (No. 67); the cell edges are 6.286, 12.857 and 4.631 Å and the angles 90.00°, 90.00° and 90.00°. The inequivalent atoms are Ba at (0.000, 0.250, 0.240), Ag at (0.250, 0.000, 0.000), Au at (0.000, 0.000, 0.500) and O at (0.000, 0.137, 0.742).



3.
First-principles (PBE) data for PmNd6Sm2Y3 after structural relaxation, as listed in Alexandria.

The value obtained for the total DFT energy (no corrections) is -5.172 eV/atom. The calculation puts the volume at 819 Å³ per cell.

The structure belongs to space group C2/m (No. 12); the cell edges are 6.325, 10.957 and 12.010 Å and the angles 90.00°, 100.08° and 90.00°. The inequivalent atoms are Pm at (0.000, 0.000, 0.000), Nd at (0.249, 0.000, 0.748), Nd at (0.249, 0.333, 0.748), Sm at (0.000, 0.333, 0.000), Y at (0.000, 0.167, 0.500) and Y at (0.000, 0.500, 0.500).



4.
First-principles (PBE) data for Th2Ga7Cu12 after structural relaxation, as listed in Alexandria.

The value obtained for the total DFT energy (no corrections) is -4.268 eV/atom. The calculation puts the volume at 324 Å³ per cell.

The structure belongs to space group P-6 (No. 174); the cell edges are 9.5338, 9.5338 and 4.1163 Å and the angles 90.00°, 90.00° and 120.00°. The inequivalent atoms are Th at (0.0000, 0.0000, 0.0000), Th at (0.3333, 0.6667, 0.5000), Ga at (0.0347, 0.5627, 0.0000), Ga at (0.2635, 0.0156, 0.5000), Ga at (0.6667, 0.3333, 0.0000), Cu at (0.0223, 0.7385, 0.5000), Cu at (0.1444, 0.3762, 0.0000), Cu at (0.3736, 0.1790, 0.0000) and Cu at (0.5672, 0.4195, 0.5000).